Computed, not measured: a geometry-optimized NbNiF2 structure at the PBE with a Hubbard U level of DFT.

POSCAR file:
```
NbNiF2
1.0
0.000 2.835 2.835
2.835 0.000 2.835
2.835 2.835 0.000
Nb F Ni
1 2 1
direct
0.500 0.500 0.500 Nb
0.750 0.750 0.750 F
0.250 0.250 0.250 F
0.000 0.000 0.000 Ni
```

Properties
DOS at the Fermi energy: 2.77 states/eV/cell
ΔE to the lowest computed polymorph: 0.896 eV per atom
uncorrected energy: -4.41 eV per atom